Entry 1
VASP calculation (GGA-PBE) on NbCo2Pd after structural relaxation.

a b c (Å): 3.8537 3.8537 3.5982
angles (deg): 90.00 90.00 90.00
Fractional positions:
Nb 0.0000 0.0000 0.0000
Co 0.0000 0.5000 0.5000
Co 0.5000 0.0000 0.5000
Pd 0.5000 0.5000 0.0000

Summary:
Density of states at the Fermi level (states/eV/cell): 2.07
Calculated density (Mg/m³): 9.86
Symmetry: P4/mmm (123)
Total magnetic moment (μB per atom): 0.20

---

Entry 2
VASP calculation (GGA-PBE) on NbCo2Pd after structural relaxation.

a b c (Å): 9.0536 9.0536 9.0536
angles (deg): 156.27 156.27 33.81
Fractional positions:
Nb 0.0000 0.0000 0.0000
Nb 0.7500 0.2500 0.5000
Co 0.1559 0.6250 0.0309
Co 0.3750 0.4059 0.5309
Co 0.5941 0.1250 0.9691
Co 0.8750 0.8441 0.4691
Pd 0.2500 0.7500 0.5000
Pd 0.5000 0.5000 0.0000

Summary:
Density of states at the Fermi level (states/eV/cell): 9.13
Calculated density (Mg/m³): 8.77
Symmetry: I-42d (122)
Total magnetic moment (μB per atom): 0.40

---

Entry 3
VASP calculation (GGA-PBE) on NbCo2Pd after structural relaxation.

a b c (Å): 4.2408 4.2408 4.2408
angles (deg): 60.00 60.00 60.00
Fractional positions:
Nb 0.0000 0.0000 0.0000
Co 0.2500 0.2500 0.2500
Co 0.7500 0.7500 0.7500
Pd 0.5000 0.5000 0.5000

Summary:
Density of states at the Fermi level (states/eV/cell): 5.30
Calculated density (Mg/m³): 9.77
Symmetry: Fm-3m (225)
Total magnetic moment (μB per atom): 0.17

---

The most stable arrangement is entry 1, and the next structure is 146 meV/atom less stable.

---

Entry 1
VASP calculation (GGA-PBE) on NbCoPt4 after structural relaxation.

a b c (Å): 7.9936 7.9936 4.5631
angles (deg): 90.00 90.00 139.69
Fractional positions:
Nb 0.1978 0.8022 0.7500
Nb 0.8022 0.1978 0.2500
Co 0.3040 0.6960 0.2500
Co 0.6960 0.3040 0.7500
Pt 0.1048 0.4003 0.7500
Pt 0.2103 0.2989 0.2500
Pt 0.2989 0.2103 0.7500
Pt 0.4003 0.1048 0.2500
Pt 0.5997 0.8952 0.7500
Pt 0.7011 0.7897 0.2500
Pt 0.7897 0.7011 0.7500
Pt 0.8952 0.5997 0.2500

Summary:
Density of states at the Fermi level (states/eV/cell): 8.07
Calculated density (Mg/m³): 16.41
Symmetry: Cmcm (63)
Total magnetic moment (μB per atom): 0.28

---

Entry 2
VASP calculation (GGA-PBE) on NbCoPt4 after structural relaxation.

a b c (Å): 4.4171 4.4171 5.6029
angles (deg): 90.19 90.19 102.36
Fractional positions:
Nb 0.0000 0.0000 0.0000
Co 0.5000 0.5000 0.5000
Pt 0.0006 0.4993 0.7405
Pt 0.4993 0.0006 0.7405
Pt 0.5007 0.9994 0.2595
Pt 0.9994 0.5007 0.2595

Summary:
Density of states at the Fermi level (states/eV/cell): 6.44
Calculated density (Mg/m³): 14.50
Symmetry: C2/m (12)
Total magnetic moment (μB per atom): 0.43

---

The most stable arrangement is entry 1, and the next structure is 243 meV/atom less stable.

---

Entry 1
VASP calculation (GGA-PBE) on Nb2Co3Pt2 after structural relaxation.

a b c (Å): 6.4803 6.4803 6.4803
angles (deg): 109.47 109.47 109.47
Fractional positions:
Nb 0.0000 0.0133 0.5000
Nb 0.0133 0.5000 0.0000
Nb 0.4867 0.4867 0.4867
Nb 0.5000 0.0000 0.0133
Co 0.0206 0.2500 0.2706
Co 0.2294 0.4794 0.7500
Co 0.2500 0.2706 0.0206
Co 0.2706 0.0206 0.2500
Co 0.4794 0.7500 0.2294
Co 0.7500 0.2294 0.4794
Pt 0.0000 0.6259 0.5000
Pt 0.5000 0.0000 0.6259
Pt 0.6259 0.5000 0.0000
Pt 0.8741 0.8741 0.8741

Summary:
Density of states at the Fermi level (states/eV/cell): 15.36
Calculated density (Mg/m³): 11.93
Symmetry: I2_13 (199)
Total magnetic moment (μB per atom): 0.00

---

Entry 2
VASP calculation (GGA-PBE) on Nb2Co3Pt2 after structural relaxation.

a b c (Å): 4.7406 4.7406 6.0966
angles (deg): 96.54 96.54 46.67
Fractional positions:
Nb 0.0783 0.0783 0.2407
Nb 0.9217 0.9217 0.7593
Co 0.2112 0.2112 0.6182
Co 0.5000 0.5000 0.5000
Co 0.7888 0.7888 0.3818
Pt 0.3596 0.3596 0.0907
Pt 0.6404 0.6404 0.9093

Summary:
Density of states at the Fermi level (states/eV/cell): 6.48
Calculated density (Mg/m³): 12.64
Symmetry: C2/m (12)
Total magnetic moment (μB per atom): 0.25

---

The most stable arrangement is entry 2, and the next structure is 367 meV/atom less stable.

---

Entry 1
VASP calculation (GGA-PBE) on Nb2Co2Pt after structural relaxation.

a b c (Å): 3.6844 3.6844 5.9460
angles (deg): 90.00 90.00 104.19
Fractional positions:
Nb 0.0000 0.0000 0.2459
Nb 0.0000 0.0000 0.7541
Co 0.3133 0.6867 0.5000
Co 0.6867 0.3133 0.5000
Pt 0.5000 0.5000 0.0000

Summary:
Density of states at the Fermi level (states/eV/cell): 5.32
Calculated density (Mg/m³): 10.58
Symmetry: Cmmm (65)
Total magnetic moment (μB per atom): 0.07

---

Entry 2
VASP calculation (GGA-PBE) on Nb2Co2Pt after structural relaxation.

a b c (Å): 6.8839 6.8839 3.0463
angles (deg): 90.00 90.00 90.00
Fractional positions:
Nb 0.1718 0.3282 0.0000
Nb 0.3282 0.8282 0.0000
Nb 0.6718 0.1718 0.0000
Nb 0.8282 0.6718 0.0000
Co 0.1295 0.6295 0.5000
Co 0.3705 0.1295 0.5000
Co 0.6295 0.8705 0.5000
Co 0.8705 0.3705 0.5000
Pt 0.0000 0.0000 0.5000
Pt 0.5000 0.5000 0.5000

Summary:
Density of states at the Fermi level (states/eV/cell): 5.78
Calculated density (Mg/m³): 11.47
Symmetry: P4/mbm (127)
Total magnetic moment (μB per atom): 0.00

---

The most stable arrangement is entry 2, and the next structure is 376 meV/atom less stable.

---

Entry 1
VASP calculation (GGA-PBE) on NbCoPt3 after structural relaxation.

a b c (Å): 4.5141 4.5141 4.5141
angles (deg): 90.00 90.00 90.00
Fractional positions:
Nb 0.0000 0.0000 0.0000
Co 0.5000 0.5000 0.5000
Pt 0.0000 0.5000 0.5000
Pt 0.5000 0.0000 0.5000
Pt 0.5000 0.5000 0.0000

Summary:
Density of states at the Fermi level (states/eV/cell): 9.65
Calculated density (Mg/m³): 13.31
Symmetry: Pm-3m (221)
Total magnetic moment (μB per atom): 0.52

---

Entry 2
VASP calculation (GGA-PBE) on NbCoPt3 after structural relaxation.

a b c (Å): 4.8447 4.8447 4.8447
angles (deg): 90.00 90.00 90.00
Fractional positions:
Nb 0.0000 0.0000 0.0000
Co 0.5000 0.5000 0.5000
Pt 0.0000 0.0000 0.5000
Pt 0.0000 0.5000 0.0000
Pt 0.5000 0.0000 0.0000

Summary:
Density of states at the Fermi level (states/eV/cell): 11.02
Calculated density (Mg/m³): 10.76
Symmetry: Pm-3m (221)
Total magnetic moment (μB per atom): 0.44

---

The most stable arrangement is entry 1, and the next structure is 450 meV/atom less stable.

---

Entry 1
VASP calculation (GGA-PBE) on Nb2CoPt2 after structural relaxation.

a b c (Å): 4.8856 4.8856 6.3214
angles (deg): 129.51 129.51 45.60
Fractional positions:
Nb 0.0815 0.0815 0.3039
Nb 0.9185 0.9185 0.6961
Co 0.5000 0.5000 0.5000
Pt 0.2975 0.2975 0.8883
Pt 0.7025 0.7025 0.1117

Summary:
Density of states at the Fermi level (states/eV/cell): 4.59
Calculated density (Mg/m³): 13.51
Symmetry: C2/m (12)
Total magnetic moment (μB per atom): 0.06

---

Entry 2
VASP calculation (GGA-PBE) on Nb2CoPt2 after structural relaxation.

a b c (Å): 7.0916 7.0916 3.3716
angles (deg): 90.00 90.00 90.00
Fractional positions:
Nb 0.1747 0.3253 0.0000
Nb 0.3253 0.8253 0.0000
Nb 0.6747 0.1747 0.0000
Nb 0.8253 0.6747 0.0000
Co 0.0000 0.0000 0.5000
Co 0.5000 0.5000 0.5000
Pt 0.1322 0.6322 0.5000
Pt 0.3678 0.1322 0.5000
Pt 0.6322 0.8678 0.5000
Pt 0.8678 0.3678 0.5000

Summary:
Density of states at the Fermi level (states/eV/cell): 10.08
Calculated density (Mg/m³): 12.44
Symmetry: P4/mbm (127)
Total magnetic moment (μB per atom): 0.22

---

The most stable arrangement is entry 1, and the next structure is 254 meV/atom less stable.